Entry 1:
The following is a DFT calculation (PBE) of an optimized crystal structure of Pm2NdZrAs4.

The structure in POSCAR format:
```
Pm2NdZrAs4
1.0
7.176 0.000 0.000
0.000 4.143 0.000
-2.369 0.000 6.779
Pm Nd Zr As
2 1 1 4
direct
0.000 0.000 0.000
0.000 0.500 0.500
0.500 0.000 0.500
0.500 0.500 0.000
0.257 0.500 0.240
0.265 0.000 0.766
0.735 0.000 0.234
0.743 0.500 0.760
```

E_tot = -6.5793 eV per atom
DOS(E_F) = 1.48 states/eV/cell
calculated formation energy = -1402 meV/atom



Entry 2:
The following is a DFT calculation (PBE) of an optimized crystal structure of Pr4NdAs5.

The structure in POSCAR format:
```
Pr4NdAs5
1.0
-2.151 2.151 15.201
2.151 -2.151 15.201
2.151 2.151 -15.201
Pr Nd As
4 1 5
direct
0.100 0.100 0.000
0.300 0.300 0.000
0.700 0.700 0.000
0.900 0.900 0.000
0.500 0.500 0.000
0.000 0.000 0.000
0.200 0.200 0.000
0.400 0.400 0.000
0.600 0.600 0.000
0.800 0.800 0.000
```

E_tot = -6.2174 eV per atom
DOS(E_F) = 1.21 states/eV/cell
calculated formation energy = -1504 meV/atom



Entry 3:
The following is a DFT calculation (PBE) of an optimized crystal structure of PrNdAs2.

The structure in POSCAR format:
```
PrNdAs2
1.0
4.244 0.000 0.000
-2.122 3.675 0.000
0.000 0.000 21.944
Pr Nd As
3 3 6
direct
0.000 0.000 0.000
0.333 0.667 0.667
0.667 0.333 0.333
0.000 0.000 0.828
0.333 0.667 0.495
0.667 0.333 0.162
0.000 0.000 0.414
0.000 0.000 0.581
0.333 0.667 0.080
0.333 0.667 0.248
0.667 0.333 0.747
0.667 0.333 0.915
```

E_tot = -6.0623 eV per atom
DOS(E_F) = 0.95 states/eV/cell
relative energy among the computed polymorphs = 158 meV/atom
calculated formation energy = -1351 meV/atom



- Which value of E_tot does entry 1 give?
  -6.5793 eV per atom



- Among the records above, which one has the lowest calculated formation energy?
  Pr4NdAs5



- Number 2 is which compound?
  Pr4NdAs5



What did the third record say?
The following is a DFT calculation (PBE) of an optimized crystal structure of PrNdAs2.

The structure in POSCAR format:
```
PrNdAs2
1.0
4.244 0.000 0.000
-2.122 3.675 0.000
0.000 0.000 21.944
Pr Nd As
3 3 6
direct
0.000 0.000 0.000
0.333 0.667 0.667
0.667 0.333 0.333
0.000 0.000 0.828
0.333 0.667 0.495
0.667 0.333 0.162
0.000 0.000 0.414
0.000 0.000 0.581
0.333 0.667 0.080
0.333 0.667 0.248
0.667 0.333 0.747
0.667 0.333 0.915
```

E_tot = -6.0623 eV per atom
DOS(E_F) = 0.95 states/eV/cell
relative energy among the computed polymorphs = 158 meV/atom
calculated formation energy = -1351 meV/atom